Record 1
The following is a PBE calculation of a relaxed PuSnPd4 crystal, from Alexandria via LeMat-Bulk. Values from VASP.

Calculated values
Energy above the lowest structure with this stoichiometry in meV per atom: 4
Symmetry: C2/m

```
&SYSTEM
  ibrav = 0, nat = 12, ntyp = 3
/
ATOMIC_SPECIES
Pd 106.42 Pd.upf
Pu 244.00 Pu.upf
Sn 118.71 Sn.upf
CELL_PARAMETERS angstrom
-2.583 1.312 4.617
-3.617 -2.827 -1.216
6.866 -5.767 2.253
ATOMIC_POSITIONS crystal
Pd 0.336 0.416 0.332
Pu 0.816 0.750 0.000
Sn 0.000 0.500 0.500
Sn 0.500 0.000 0.500
Pd 0.664 0.584 0.668
Pd 0.437 0.839 0.178
Pd 0.741 0.339 0.178
Pd 0.259 0.661 0.822
Pd 0.004 0.083 0.667
Pu 0.184 0.250 0.000
Pd 0.996 0.917 0.333
Pd 0.563 0.161 0.822
```

---

Record 2
The following is a PBE calculation of a relaxed PuSnPd2 crystal, from Alexandria via LeMat-Bulk. Values from VASP.

Calculated values
Symmetry: P4/mmm

```
&SYSTEM
  ibrav = 0, nat = 4, ntyp = 3
/
ATOMIC_SPECIES
Sn 118.71 Sn.upf
Pd 106.42 Pd.upf
Pu 244.00 Pu.upf
CELL_PARAMETERS angstrom
-2.098 -2.852 0.761
3.760 -2.275 1.842
-0.972 1.858 4.279
ATOMIC_POSITIONS crystal
Sn 0.500 0.500 0.500
Pd 0.000 0.000 0.500
Pu 0.500 0.000 0.000
Pd 0.000 0.500 0.000
```

---

Record 3
The following is a PBE calculation of a relaxed Pu2Sn5Pd3 crystal, from Alexandria via LeMat-Bulk. Values from VASP.

Calculated values
Symmetry: Cmc2_1

```
&SYSTEM
  ibrav = 0, nat = 20, ntyp = 3
/
ATOMIC_SPECIES
Pd 106.42 Pd.upf
Sn 118.71 Sn.upf
Pu 244.00 Pu.upf
CELL_PARAMETERS angstrom
4.526 0.000 -0.771
0.000 7.298 0.000
-0.010 0.000 13.612
ATOMIC_POSITIONS crystal
Pd 0.394 0.006 0.788
Sn 0.598 0.884 0.195
Pd 0.949 0.469 0.898
Sn 0.952 0.084 0.904
Pd 0.779 0.724 0.559
Sn 0.294 0.942 0.588
Pu 0.827 0.233 0.654
Sn 0.402 0.384 0.805
Sn 0.706 0.442 0.412
Sn 0.290 0.513 0.580
Pd 0.606 0.506 0.212
Sn 0.119 0.255 0.238
Pu 0.173 0.733 0.346
Sn 0.881 0.755 0.762
Pd 0.051 0.969 0.102
Pu 0.522 0.253 0.043
Pd 0.221 0.224 0.441
Pu 0.478 0.753 0.957
Sn 0.048 0.584 0.096
Sn 0.710 0.013 0.420
```

---

Record 4
The following is a PBE calculation of a relaxed Pu3SnPd4 crystal, from Alexandria via LeMat-Bulk. Values from VASP.

Calculated values
Symmetry: Immm

```
&SYSTEM
  ibrav = 0, nat = 8, ntyp = 3
/
ATOMIC_SPECIES
Pd 106.42 Pd.upf
Pu 244.00 Pu.upf
Sn 118.71 Sn.upf
CELL_PARAMETERS angstrom
-1.255 -1.934 -1.823
6.427 -2.634 -1.629
-3.227 -3.054 7.829
ATOMIC_POSITIONS crystal
Pd 0.880 0.086 0.760
Pu 0.000 0.500 0.000
Sn 0.500 0.000 0.000
Pu 0.276 0.276 0.551
Pd 0.120 0.914 0.240
Pd 0.120 0.326 0.240
Pu 0.724 0.724 0.449
Pd 0.880 0.674 0.760
```

---

Record 5
The following is a PBE calculation of a relaxed PuSnPd14 crystal, from Alexandria via LeMat-Bulk. Values from VASP.

Calculated values
Symmetry: P4/mmm

```
&SYSTEM
  ibrav = 0, nat = 16, ntyp = 3
/
ATOMIC_SPECIES
Pd 106.42 Pd.upf
Pu 244.00 Pu.upf
Sn 118.71 Sn.upf
CELL_PARAMETERS angstrom
5.769 -0.012 0.000
0.012 5.769 0.000
0.000 0.000 7.806
ATOMIC_POSITIONS crystal
Pd 0.124 0.626 0.753
Pd 0.875 0.375 0.500
Pd 0.626 0.626 0.247
Pd 0.626 0.626 0.753
Pd 0.124 0.626 0.247
Pu 0.375 0.375 0.500
Pd 0.375 0.875 0.500
Pd 0.626 0.124 0.753
Pd 0.124 0.124 0.753
Pd 0.626 0.124 0.247
Sn 0.875 0.875 0.500
Pd 0.375 0.875 0.000
Pd 0.875 0.375 0.000
Pd 0.875 0.875 0.000
Pd 0.375 0.375 0.000
Pd 0.124 0.124 0.247
```

---

Record 6
The following is a PBE calculation of a relaxed Pu3SnPd2 crystal, from Alexandria via LeMat-Bulk. Values from VASP.

Calculated values
Energy above the lowest structure with this stoichiometry in meV per atom: 0
Symmetry: P4/mmm

```
&SYSTEM
  ibrav = 0, nat = 6, ntyp = 3
/
ATOMIC_SPECIES
Pu 244.00 Pu.upf
Pd 106.42 Pd.upf
Sn 118.71 Sn.upf
CELL_PARAMETERS angstrom
-2.983 0.892 -1.410
0.358 -2.479 -2.325
-5.694 -7.608 7.234
ATOMIC_POSITIONS crystal
Pu 0.000 0.000 0.000
Pd 0.500 0.500 0.847
Pd 0.500 0.500 0.153
Pu 0.000 0.000 0.691
Sn 0.500 0.500 0.500
Pu 0.000 0.000 0.309
```

---

Record 7
The following is a PBE calculation of a relaxed Pu2SnPd2 crystal, from Alexandria via LeMat-Bulk. Values from VASP.

Calculated values
Symmetry: P4/mbm

```
&SYSTEM
  ibrav = 0, nat = 10, ntyp = 3
/
ATOMIC_SPECIES
Pd 106.42 Pd.upf
Sn 118.71 Sn.upf
Pu 244.00 Pu.upf
CELL_PARAMETERS angstrom
-6.641 -1.982 -3.123
-2.715 -1.748 6.882
-1.294 3.669 0.422
ATOMIC_POSITIONS crystal
Pd 0.371 0.871 0.000
Sn 0.500 0.500 0.000
Pu 0.325 0.175 0.500
Pu 0.175 0.675 0.500
Pd 0.629 0.129 0.000
Pu 0.675 0.825 0.500
Pu 0.825 0.325 0.500
Pd 0.871 0.629 0.000
Sn 0.000 0.000 0.000
Pd 0.129 0.371 0.000
```

---

Record 8
The following is a PBE calculation of a relaxed Pu4SnPd4 crystal, from Alexandria via LeMat-Bulk. Values from VASP.

Calculated values
Symmetry: P4_2/nmc

```
&SYSTEM
  ibrav = 0, nat = 18, ntyp = 3
/
ATOMIC_SPECIES
Pu 244.00 Pu.upf
Pd 106.42 Pd.upf
Sn 118.71 Sn.upf
CELL_PARAMETERS angstrom
6.260 0.000 0.000
0.000 6.260 0.000
0.000 0.000 10.358
ATOMIC_POSITIONS crystal
Pu 0.242 0.500 0.778
Pd 0.214 0.500 0.058
Pd 0.000 0.286 0.558
Pu 0.500 0.758 0.222
Pu 0.000 0.258 0.278
Pu 0.258 0.000 0.722
Pu 0.742 0.000 0.722
Sn 0.000 0.000 0.000
Pd 0.286 0.000 0.442
Sn 0.500 0.500 0.500
Pu 0.758 0.500 0.778
Pd 0.500 0.214 0.942
Pu 0.500 0.242 0.222
Pd 0.500 0.786 0.942
Pu 0.000 0.742 0.278
Pd 0.714 0.000 0.442
Pd 0.000 0.714 0.558
Pd 0.786 0.500 0.058
```

---

Record 9
The following is a PBE calculation of a relaxed Pu2SnPd4 crystal, from Alexandria via LeMat-Bulk. Values from VASP.

Calculated values
Symmetry: I4/mmm

```
&SYSTEM
  ibrav = 0, nat = 7, ntyp = 3
/
ATOMIC_SPECIES
Pu 244.00 Pu.upf
Pd 106.42 Pd.upf
Sn 118.71 Sn.upf
CELL_PARAMETERS angstrom
-0.748 4.570 1.832
-4.878 -0.435 -0.904
1.857 -4.823 6.020
ATOMIC_POSITIONS crystal
Pu 0.371 0.371 0.741
Pd 0.186 0.186 0.371
Pd 0.500 0.000 0.000
Sn 0.000 0.000 0.000
Pd 0.814 0.814 0.629
Pu 0.629 0.629 0.259
Pd 0.000 0.500 0.000
```

---

Record 10
The following is a PBE calculation of a relaxed PuSn3Pd2 crystal, from Alexandria via LeMat-Bulk. Values from VASP.

Calculated values
Symmetry: Immm

```
&SYSTEM
  ibrav = 0, nat = 12, ntyp = 3
/
ATOMIC_SPECIES
Pu 244.00 Pu.upf
Sn 118.71 Sn.upf
Pd 106.42 Pd.upf
CELL_PARAMETERS angstrom
-2.708 -1.525 -3.431
1.495 -8.343 -0.595
-5.126 -5.802 3.502
ATOMIC_POSITIONS crystal
Pu 0.126 0.874 0.874
Sn 0.324 0.466 0.885
Pd 0.500 0.834 0.166
Sn 0.000 0.333 0.667
Sn 0.676 0.534 0.115
Sn 0.000 0.667 0.333
Pd 0.500 0.166 0.834
Sn 0.676 0.115 0.534
Pd 0.194 0.306 0.306
Sn 0.324 0.885 0.466
Pu 0.874 0.126 0.126
Pd 0.806 0.694 0.694
```

---

Record 11
The following is a PBE calculation of a relaxed PuSn3Pd7 crystal, from Alexandria via LeMat-Bulk. Values from VASP.

Calculated values
Symmetry: C2/m

```
&SYSTEM
  ibrav = 0, nat = 11, ntyp = 3
/
ATOMIC_SPECIES
Pd 106.42 Pd.upf
Pu 244.00 Pu.upf
Sn 118.71 Sn.upf
CELL_PARAMETERS angstrom
5.504 -0.531 -0.680
-3.245 6.626 0.495
-3.245 -1.127 6.549
ATOMIC_POSITIONS crystal
Pd 0.673 0.951 0.406
Pu 0.500 0.500 0.500
Pd 0.327 0.185 0.185
Pd 0.673 0.406 0.951
Sn 0.000 0.230 0.770
Sn 0.500 0.000 0.000
Pd 0.327 0.049 0.594
Pd 0.327 0.594 0.049
Sn 0.000 0.770 0.230
Pd 0.000 0.500 0.500
Pd 0.673 0.815 0.815
```

---

Record 12
The following is a PBE calculation of a relaxed PuSn4Pd6 crystal, from Alexandria via LeMat-Bulk. Values from VASP.

Calculated values
Symmetry: I-42m

```
&SYSTEM
  ibrav = 0, nat = 11, ntyp = 3
/
ATOMIC_SPECIES
Sn 118.71 Sn.upf
Pd 106.42 Pd.upf
Pu 244.00 Pu.upf
CELL_PARAMETERS angstrom
6.923 -0.169 -0.248
-3.350 6.061 0.248
-3.350 -1.998 5.728
ATOMIC_POSITIONS crystal
Sn 0.421 0.883 0.883
Pd 0.500 0.500 0.000
Pd 0.320 0.561 0.561
Sn 0.000 0.537 0.117
Sn 0.000 0.117 0.537
Pu 0.000 0.000 0.000
Pd 0.680 0.240 0.240
Pd 0.500 0.000 0.500
Pd 0.000 0.760 0.439
Sn 0.579 0.463 0.463
Pd 0.000 0.439 0.760
```

---

| no. | formation energy from the elements (eV/atom) | calculated total energy (eV/atom) |
| --- | --- | --- |
| 1 | -0.457 | -6.9751 |
| 2 | -0.414 | -7.5938 |
| 3 | -0.515 | -6.9411 |
| 4 | -0.289 | -8.7599 |
| 5 | -0.262 | -5.9519 |
| 6 | -0.390 | -9.9542 |
| 7 | -0.534 | -9.1444 |
| 8 | -0.170 | -9.2924 |
| 9 | 0.016 | -7.6179 |
| 10 | -0.444 | -6.5649 |
| 11 | -0.397 | -6.0964 |
| 12 | -0.394 | -5.9845 |